Here is a relaxed KAsPbCl6 crystal from Alexandria via LeMat-Bulk. Energies are from PBE.

Results
Raw formation energy (eV/atom): -1.115
DOS at the Fermi energy (states/eV per cell): 0.00
Mass density (g/cm³): 2.96
Final energy (eV per atom): -3.3966

Unit cell a=7.132 b=7.132 c=6.793 alpha=90.00 beta=90.00 gamma=60.00
Fractional coordinates of all 9 atoms:
1 K 0.000 0.000 0.000
2 As 0.333 0.333 0.500
3 Pb 0.667 0.667 0.500
4 Cl 0.041 0.344 0.281
5 Cl 0.344 0.041 0.719
6 Cl 0.615 0.344 0.719
7 Cl 0.041 0.615 0.719
8 Cl 0.344 0.615 0.281
9 Cl 0.615 0.041 0.281


Here is a relaxed K2AsPbCl crystal from Alexandria via LeMat-Bulk. Energies are from PBE.

Results
Raw formation energy (eV/atom): -0.388
DOS at the Fermi energy (states/eV per cell): 1.46
Mass density (g/cm³): 3.66
Final energy (eV per atom): -2.8678

Unit cell a=5.556 b=5.810 c=5.556 alpha=90.00 beta=90.00 gamma=90.00
Fractional coordinates of all 5 atoms:
1 Pb 0.000 0.500 0.000
2 As 0.500 0.500 0.500
3 K 0.000 0.000 0.500
4 K 0.500 0.000 0.000
5 Cl 0.000 0.000 0.000


Here is a relaxed K2AsPdCl6 crystal from Alexandria via LeMat-Bulk. Energies are from PBE.

Results
Raw formation energy (eV/atom): -1.072
DOS at the Fermi energy (states/eV per cell): 1.94
Mass density (g/cm³): 3.01
Final energy (eV per atom): -3.3833

Unit cell a=7.180 b=7.180 c=7.159 alpha=60.00 beta=60.00 gamma=90.14
Fractional coordinates of all 10 atoms:
1 K 0.750 0.250 0.500
2 K 0.250 0.750 0.500
3 As 0.500 0.500 0.000
4 Pd 0.000 0.000 0.000
5 Cl 0.251 0.251 0.498
6 Cl 0.749 0.749 0.000
7 Cl 0.252 0.748 0.000
8 Cl 0.748 0.252 0.000
9 Cl 0.251 0.251 0.000
10 Cl 0.749 0.749 0.502


Please write out number 2 again, unchanged.
Here is a relaxed K2AsPbCl crystal from Alexandria via LeMat-Bulk. Energies are from PBE.

Results
Raw formation energy (eV/atom): -0.388
DOS at the Fermi energy (states/eV per cell): 1.46
Mass density (g/cm³): 3.66
Final energy (eV per atom): -2.8678

Unit cell a=5.556 b=5.810 c=5.556 alpha=90.00 beta=90.00 gamma=90.00
Fractional coordinates of all 5 atoms:
1 Pb 0.000 0.500 0.000
2 As 0.500 0.500 0.500
3 K 0.000 0.000 0.500
4 K 0.500 0.000 0.000
5 Cl 0.000 0.000 0.000


Question: Which of these has the highest raw formation energy?
Answer: K2AsPbCl


Question: Which of these has the highest DOS at the Fermi energy?
Answer: K2AsPdCl6


Question: Which of these has the lowest final energy?
Answer: KAsPbCl6